A relaxed NbCu3Ir crystal, computed with PBE.

Lattice parameters (Å, degrees): 4.566 4.566 4.566 90.00 90.00 90.00
Space group Pm-3m (No. 221)
Asymmetric unit:
Nb  0.000  0.000  0.000 x1
Cu  0.000  0.500  0.500 x3
Ir  0.500  0.500  0.500 x1

Output
size of the total moment = 1.95 μB per formula unit
calculated density = 8.30 g cm⁻³
formation energy = 1.30 eV/atom
calculated total energy = -24.7 eV per cell